Nb2CdAu2 at its PBEsol-relaxed geometry. Source: the Alexandria database, functional SCAN.

Calculated values
Energy relative to the elements   86 meV/atom

a b c (Å): 3.7530 3.7530 13.7205
angles (deg): 90.00 90.00 90.00
Positions (direct):
1 Nb 0.0000 0.5000 0.2500
2 Nb 0.0000 0.5000 0.7500
3 Nb 0.5000 0.0000 0.2500
4 Nb 0.5000 0.0000 0.7500
5 Cd 0.0000 0.0000 0.0000
6 Cd 0.5000 0.5000 0.5000
7 Au 0.0000 0.0000 0.4033
8 Au 0.0000 0.0000 0.5967
9 Au 0.5000 0.5000 0.0967
10 Au 0.5000 0.5000 0.9033

***

RbNbCdAu2 at its PBEsol-relaxed geometry. Source: the Alexandria database, functional SCAN.

Calculated values
Energy relative to the elements   1814 meV/atom

a b c (Å): 5.5049 5.5049 5.3595
angles (deg): 90.00 90.00 90.00
Positions (direct):
1 Rb 0.0000 0.0000 0.0000
2 Nb 0.0000 0.0000 0.5000
3 Cd 0.5000 0.5000 0.5000
4 Au 0.0000 0.5000 0.0000
5 Au 0.5000 0.0000 0.0000

***

Number 1: E_tot -3.4480 Ry per atom, magnetization 0.00 μB/cell. Number 2: E_tot -3.1388 Ry per atom, magnetization 4.05 μB/cell.